# 1
The following is a PBE calculation of a relaxed ZnCdCoNi crystal, from OQMD.

Offset from the most stable computed form, kJ per mole of atoms: 7.5
E_tot, eV/cell: -14.1
E_form, eV per atom: 0.19

```
4
Lattice="0.000 3.021 3.021 3.021 0.000 3.021 3.021 3.021 0.000" Properties=species:S:1:pos:R:3 pbc="T T T"
Ni 3.021 3.021 3.021
Co 4.532 4.532 4.532
Cd 1.511 1.511 1.511
Zn 0.000 0.000 0.000
```

***

# 2
The following is a PBE calculation of a relaxed LuZnInTe3 crystal, from OQMD.

Offset from the most stable computed form, kJ per mole of atoms: 0.1
E_tot, eV/cell: -44.9

```
12
Lattice="4.301 0.000 0.000 0.000 11.368 0.000 -2.151 0.000 7.636" Properties=species:S:1:pos:R:3 pbc="T T T"
Te 2.151 9.175 2.058
In 2.151 5.684 3.917
Te 0.000 3.491 5.577
Lu 0.000 2.842 0.000
Zn 2.151 0.000 0.557
Lu 0.000 8.526 0.000
In 0.000 0.000 3.719
Te 2.151 2.193 2.058
Zn 0.000 5.684 7.079
Te 0.000 7.878 5.577
Te 2.151 0.000 6.505
Te 0.000 5.684 1.131
```